# Pa2BiN, relaxed, DFT PBE
# E_form (uncorrected) = -147 meV/atom
# Excess energy over the best structure of this formula in the dataset = 2.489 eV/f.u.
data_Pa2BiN
_symmetry_space_group_name_H-M 'P 4/m m m'
_symmetry_Int_Tables_number 123
_symmetry_space_group_name_Hall '-P 4 2'
_cell_length_a 3.183
_cell_length_b 3.183
_cell_length_c 8.154
_cell_angle_alpha 90.00
_cell_angle_beta 90.00
_cell_angle_gamma 90.00
loop_
_atom_site_label
_atom_site_fract_x
_atom_site_fract_y
_atom_site_fract_z
Pa1 0.000 0.000 0.178
Bi1 0.500 0.500 0.500
N1 0.500 0.500 0.000